# LiGa12Cu6 (PBE-GGA, relaxed)
# spin magnetization	0.00	μB per cell
# energy	-3.35	eV per atom
data_LiGa12Cu6
_cell_length_a 7.154
_cell_length_b 7.154
_cell_length_c 7.154
_cell_angle_alpha 105.70
_cell_angle_beta 105.70
_cell_angle_gamma 105.70
_space_group_name_H-M_alt 'P 1'
_space_group_IT_number 1
loop_
_space_group_symop_operation_xyz
'x,y,z'
loop_
_atom_site_label
_atom_site_type_symbol
_atom_site_fract_x
_atom_site_fract_y
_atom_site_fract_z
Li1 Li 0.000 0.000 0.000
Ga1 Ga 0.116 0.500 0.884
Ga2 Ga 0.116 0.884 0.500
Ga3 Ga 0.131 0.377 0.377
Ga4 Ga 0.377 0.131 0.377
Ga5 Ga 0.377 0.377 0.131
Ga6 Ga 0.500 0.116 0.884
Ga7 Ga 0.500 0.884 0.116
Ga8 Ga 0.623 0.623 0.869
Ga9 Ga 0.623 0.869 0.623
Ga10 Ga 0.869 0.623 0.623
Ga11 Ga 0.884 0.116 0.500
Ga12 Ga 0.884 0.500 0.116
Cu1 Cu 0.294 0.294 0.703
Cu2 Cu 0.294 0.703 0.294
Cu3 Cu 0.297 0.706 0.706
Cu4 Cu 0.703 0.294 0.294
Cu5 Cu 0.706 0.297 0.706
Cu6 Cu 0.706 0.706 0.297

# CaTcRu2 (PBE-GGA, relaxed)
# ΔE to the lowest computed polymorph	0.1938	eV per atom
# spin magnetization	0.00	μB per cell
# energy	-7.25	eV per atom
data_CaTcRu2
_cell_length_a 3.199
_cell_length_b 3.199
_cell_length_c 6.996
_cell_angle_alpha 90.00
_cell_angle_beta 90.00
_cell_angle_gamma 90.00
_space_group_name_H-M_alt 'P 1'
_space_group_IT_number 1
loop_
_space_group_symop_operation_xyz
'x,y,z'
loop_
_atom_site_label
_atom_site_type_symbol
_atom_site_fract_x
_atom_site_fract_y
_atom_site_fract_z
Ca1 Ca 0.000 0.000 0.000
Tc1 Tc 0.500 0.500 0.671
Ru1 Ru 0.000 0.000 0.504
Ru2 Ru 0.500 0.500 0.292

# V6Zn2C (PBE-GGA, relaxed)
# spin magnetization	0.00	μB per cell
# energy	-7.50	eV per atom
data_V6Zn2C
_cell_length_a 6.639
_cell_length_b 6.639
_cell_length_c 3.014
_cell_angle_alpha 90.00
_cell_angle_beta 90.00
_cell_angle_gamma 120.00
_space_group_name_H-M_alt 'P 1'
_space_group_IT_number 1
loop_
_space_group_symop_operation_xyz
'x,y,z'
loop_
_atom_site_label
_atom_site_type_symbol
_atom_site_fract_x
_atom_site_fract_y
_atom_site_fract_z
V1 V 0.000 0.236 0.000
V2 V 0.000 0.653 0.500
V3 V 0.236 0.000 0.000
V4 V 0.347 0.347 0.500
V5 V 0.653 0.000 0.500
V6 V 0.764 0.764 0.000
Zn1 Zn 0.333 0.667 0.000
Zn2 Zn 0.667 0.333 0.000
C1 C 0.000 0.000 0.500

# KLuC2O6 (PBE-GGA, relaxed)
# formation energy without anion corrections	-2.16	eV/atom
# spin magnetization	0.00	μB per cell
# energy	-7.54	eV per atom
data_KLuC2O6
_cell_length_a 6.318
_cell_length_b 6.318
_cell_length_c 6.969
_cell_angle_alpha 103.30
_cell_angle_beta 103.30
_cell_angle_gamma 96.65
_space_group_name_H-M_alt 'P 1'
_space_group_IT_number 1
loop_
_space_group_symop_operation_xyz
'x,y,z'
loop_
_atom_site_label
_atom_site_type_symbol
_atom_site_fract_x
_atom_site_fract_y
_atom_site_fract_z
K1 K 0.116 0.884 0.750
K2 K 0.884 0.116 0.250
Lu1 Lu 0.410 0.590 0.250
Lu2 Lu 0.590 0.410 0.750
C1 C 0.144 0.401 0.756
C2 C 0.401 0.144 0.256
C3 C 0.599 0.856 0.744
C4 C 0.856 0.599 0.244
O1 O 0.060 0.590 0.259
O2 O 0.211 0.263 0.624
O3 O 0.263 0.211 0.124
O4 O 0.302 0.540 0.904
O5 O 0.410 0.940 0.241
O6 O 0.460 0.698 0.596
O7 O 0.540 0.302 0.404
O8 O 0.590 0.060 0.759
O9 O 0.698 0.460 0.096
O10 O 0.737 0.789 0.876
O11 O 0.789 0.737 0.376
O12 O 0.940 0.410 0.741